Compound: Np2Zn16Ni
Source: Alexandria via LeMat-Bulk
Functional: PBE
Structure: optimized geometry

Lattice parameters (Å, degrees): 6.769 6.769 6.769 82.87 82.87 82.87
Site moments in Bohr magnetons follow the coordinates.
Fractional coordinates of all 19 atoms:
1 Np 0.667 0.667 0.667  3.89
2 Np 0.340 0.340 0.340  3.95
3 Zn 0.709 0.999 0.289  0.00
4 Zn 0.999 0.289 0.709  0.00
5 Zn 0.289 0.709 0.999  0.00
6 Zn 0.999 0.709 0.289  0.00
7 Zn 0.709 0.289 0.999  0.00
8 Zn 0.289 0.999 0.709  0.00
9 Zn 0.355 0.842 0.355  0.00
10 Zn 0.842 0.355 0.355  0.00
11 Zn 0.355 0.355 0.842  0.00
12 Zn 0.650 0.154 0.650  0.00
13 Zn 0.154 0.650 0.650  0.00
14 Zn 0.650 0.650 0.154  0.00
15 Zn 0.995 0.510 0.995  0.00
16 Zn 0.510 0.995 0.995  0.00
17 Zn 0.995 0.995 0.510  0.00
18 Zn 0.098 0.098 0.098  0.01
19 Ni 0.895 0.895 0.895  -0.07

Properties
crystal system = trigonal
total energy = -2.7975 eV per atom
total moment = 0.4424 μB per atom
space-group type = R3m, No. 160